First-principles (GGA-PBE) data for crystalline YNiMo2 at its relaxed geometry, as listed in Alexandria via LeMat-Bulk.

Geometry as POSCAR:
```
YNiMo2
1.0
-1.898 2.776 -1.742
-3.194 -1.117 1.700
0.946 2.998 3.748
Y Mo Ni
1 2 1
direct
0.000 0.500 0.500 Y
0.000 0.000 0.000 Mo
0.500 0.500 0.000 Mo
0.500 0.000 0.500 Ni
```

energy relative to the lowest polymorph listed for this composition = 162.8 meV per atom
magnetization = 0.00 μB per formula unit
E_form = 280 meV per atom